[1]
The following is a GGA+U calculation of NbVGe2O8 after structural relaxation, from the Alexandria database.

Unit cell a=5.6178 b=5.6178 c=5.6178 alpha=108.19 beta=108.19 gamma=112.06
Site moments in Bohr magnetons follow the coordinates.
Fractional positions:
O: 0.9439 0.2520 0.3081  -0.02
O: 0.3642 0.0561 0.3081  -0.02
O: 0.5181 0.7039 0.8142  -0.01
O: 0.2961 0.4819 0.1858  -0.01
O: 0.7480 0.0561 0.6919  -0.02
O: 0.9439 0.6358 0.6919  -0.02
O: 0.8898 0.7039 0.1858  -0.01
O: 0.2961 0.1102 0.8142  -0.01
Nb: 0.0000 0.0000 0.0000  0.09
Ge: 0.7500 0.2500 0.5000  0.00
Ge: 0.5000 0.5000 0.0000  0.00
V: 0.2500 0.7500 0.5000  1.93

Symmetry = I-4m2
Raw total energy = -88.316 eV for the cell shown

[2]
The following is a GGA+U calculation of NbVGeO6 after structural relaxation, from the Alexandria database.

Unit cell a=5.0686 b=5.0686 c=8.9122 alpha=90.00 beta=90.00 gamma=120.00
Site moments in Bohr magnetons follow the coordinates.
Fractional positions:
O: 0.6502 0.6641 0.6317  -0.01
O: 0.6641 0.0138 0.3683  -0.01
O: 0.3498 0.3359 0.3683  -0.01
O: 0.0139 0.6641 0.8683  -0.01
O: 0.3498 0.0138 0.1317  -0.01
O: 0.0139 0.3498 0.6317  -0.01
O: 0.6641 0.6502 0.1317  -0.01
O: 0.6502 0.9862 0.8683  -0.01
O: 0.9861 0.6502 0.3683  -0.01
O: 0.3359 0.9862 0.6317  -0.01
O: 0.9861 0.3359 0.1317  -0.01
O: 0.3359 0.3498 0.8683  -0.01
Ge: 0.6667 0.3333 0.2500  0.02
Ge: 0.3333 0.6667 0.7500  0.02
V: 0.0000 0.0000 0.5000  1.91
V: 0.0000 0.0000 0.0000  1.91
Nb: 0.3333 0.6667 0.2500  0.04
Nb: 0.6667 0.3333 0.7500  0.04

Symmetry = P-31c
Raw total energy = -139.938 eV for the cell shown

no.,total magnetic moment (μB/f.u.)
1,2.000
2,2.000